Entry from Alexandria: a geometry-optimized PrDy5As6 structure (PBE).

Calculated values
Space-group type = C2/m, No. 12

POSCAR file:
```
PrDy5As6
1.0
-6.2157 -1.6061 3.2409
1.3471 -2.4694 -6.6185
4.4425 -4.2088 3.7762
Pr As Dy
1 6 5
direct
0.0000 0.0000 0.0000
0.4243 0.0847 0.2541
0.9153 0.5757 0.7459
0.2551 0.2551 0.7468
0.7449 0.7449 0.2532
0.0847 0.4243 0.2541
0.5757 0.9153 0.7459
0.8348 0.1652 0.5000
0.6671 0.3329 0.0000
0.5000 0.5000 0.5000
0.3329 0.6671 0.0000
0.1652 0.8348 0.5000
```

=====

Entry from Alexandria: a geometry-optimized PrDyAs structure (PBE).

Calculated values
Space-group type = P3m1, No. 156

POSCAR file:
```
PrDyAs
1.0
-0.1624 -3.6575 5.5747
-2.2913 -2.7591 -1.8770
4.0343 -0.3186 -0.0915
Pr As Dy
1 1 1
direct
0.7369 0.6667 0.3333
0.0099 0.0000 0.0000
0.2532 0.3333 0.6667
```

=====

Entry from Alexandria: a geometry-optimized Pr4DyAs5 structure (PBE).

Calculated values
Space-group type = I4/m, No. 87

POSCAR file:
```
Pr4DyAs5
1.0
5.4458 0.0000 2.6266
2.7229 6.7545 1.3133
-0.2115 0.0000 7.3971
Pr Dy As
4 1 5
direct
0.4025 0.3982 0.7988
0.8007 0.7988 0.6018
0.2013 0.2012 0.3982
0.5995 0.6018 0.2012
0.0011 0.0000 0.0000
0.9029 0.3924 0.8039
0.2953 0.8039 0.6076
0.7068 0.1961 0.3924
0.0992 0.6076 0.1961
0.5011 0.0000 0.0000
```

=====

Entry from Alexandria: a geometry-optimized Pr2DyAs structure (PBE).

Calculated values
Space-group type = R-3m, No. 166

POSCAR file:
```
Pr2DyAs
1.0
4.0185 0.0000 0.0000
2.0093 3.4801 0.0000
2.0093 1.1600 9.5482
Pr As Dy
2 1 1
direct
0.2701 0.2701 0.1896
0.7299 0.7299 0.8104
0.0000 0.0000 0.0000
0.5000 0.5000 0.5000
```

=====

Number 1: E_tot -6.16 eV/atom, formation enthalpy at 0 K -1.522 eV/atom. Number 2: E_tot -5.52 eV/atom, formation enthalpy at 0 K -0.839 eV/atom. Number 3: E_tot -6.20 eV/atom, formation enthalpy at 0 K -1.498 eV/atom. Number 4: E_tot -5.24 eV/atom, formation enthalpy at 0 K -0.536 eV/atom.